# 1
Computed, not measured: an optimized crystal structure of Ca2PdPb at the GGA-PBE level of DFT.

abc: 3.680 3.680 7.654
angles: 90.00 90.00 90.00
Fractional positions:
Pd 0.500 0.500 0.000
Pb 0.500 0.500 0.500
Ca 0.000 0.000 0.221
Ca 0.000 0.000 0.779

Raw total energy: -3.8150 eV per atom
DFT formation energy: -2.36 eV per formula unit
Magnetization: 0.000 Bohr magnetons per cell

# 2
Computed, not measured: an optimized crystal structure of CaLaPb at the GGA-PBE level of DFT.

abc: 7.944 7.945 3.730
angles: 76.41 76.43 27.16
Fractional positions:
Ca 0.021 0.021 0.979
Pb 0.666 0.666 0.334
La 0.313 0.313 0.687

Raw total energy: -3.8751 eV per atom
DFT formation energy: -0.99 eV per formula unit
Magnetization: 0.001 Bohr magnetons per cell

- Which value of DFT formation energy does entry 1 give?
  -2.36 eV per formula unit